1.
LaCe2Er | PBE | optimized geometry

## Properties
SG: R-3m, No. 166
ΔE to the lowest computed polymorph: 0.0 kJ per mole of atoms
ΔE_f: 0.098 eV per atom

a b c (Å): 11.7371 11.7371 11.7371
angles (deg): 17.11 17.11 17.11
Element x y z (fractional)
La 0.0000 0.0000 0.0000
Ce 0.2490 0.2490 0.2490
Ce 0.7510 0.7510 0.7510
Er 0.5000 0.5000 0.5000

2.
La4CeEr | PBE | optimized geometry

## Properties
SG: C2/m, No. 12
ΔE_f: 0.185 eV per atom

a b c (Å): 6.0998 6.0998 11.6453
angles (deg): 117.85 117.85 33.22
Element x y z (fractional)
La 0.1602 0.1602 0.3361
La 0.3404 0.3404 0.1566
La 0.6596 0.6596 0.8434
La 0.8398 0.8398 0.6639
Ce 0.0000 0.0000 0.0000
Er 0.5000 0.5000 0.5000

3.
La2CeEr | PBE | optimized geometry

## Properties
SG: R3m, No. 160
ΔE to the lowest computed polymorph: 0.9 kJ per mole of atoms
ΔE_f: 0.074 eV per atom

a b c (Å): 11.9605 11.9605 11.9605
angles (deg): 17.36 17.36 17.36
Element x y z (fractional)
La 0.0000 0.0000 0.0000
La 0.1651 0.1651 0.1651
Ce 0.7494 0.7494 0.7494
Er 0.5815 0.5815 0.5815

4.
La12CeEr7 | PBE | optimized geometry

## Properties
SG: R-3, No. 148
ΔE_f: 0.205 eV per atom

a b c (Å): 11.4377 11.4377 11.4377
angles (deg): 116.63 116.63 116.63
Element x y z (fractional)
La 0.0007 0.4067 0.5940
La 0.0614 0.0619 0.4166
La 0.0619 0.4166 0.0614
La 0.4060 0.9993 0.5933
La 0.4067 0.5940 0.0007
La 0.4166 0.0614 0.0619
La 0.5834 0.9386 0.9381
La 0.5933 0.4060 0.9993
La 0.5940 0.0007 0.4067
La 0.9381 0.5834 0.9386
La 0.9386 0.9381 0.5834
La 0.9993 0.5933 0.4060
Ce 0.5000 0.5000 0.5000
Er 0.0000 0.0000 0.0000
Er 0.1478 0.3919 0.3914
Er 0.3914 0.1478 0.3919
Er 0.3919 0.3914 0.1478
Er 0.6081 0.6086 0.8522
Er 0.6086 0.8522 0.6081
Er 0.8522 0.6081 0.6086

5.
LaCe2Er | PBE | optimized geometry

## Properties
SG: Fm-3m, No. 225
ΔE to the lowest computed polymorph: 16.7 kJ per mole of atoms
ΔE_f: 0.271 eV per atom

a b c (Å): 5.7024 5.7024 5.7024
angles (deg): 60.00 60.00 60.00
Element x y z (fractional)
La 0.0000 0.0000 0.0000
Ce 0.2500 0.2500 0.2500
Ce 0.7500 0.7500 0.7500
Er 0.5000 0.5000 0.5000

6.
La2CeErN4 | PBE | optimized geometry

## Properties
SG: P2/m, No. 10
Uncorrected formation energy: -1.465 eV/atom

a b c (Å): 6.2173 3.6111 6.2994
angles (deg): 90.00 109.16 90.00
Element x y z (fractional)
La 0.0000 0.0000 0.0000
La 0.5000 0.5000 0.0000
Ce 0.0000 0.5000 0.5000
Er 0.5000 0.0000 0.5000
N 0.2428 0.0000 0.7263
N 0.2556 0.5000 0.2715
N 0.7444 0.5000 0.7286
N 0.7572 0.0000 0.2737

7.
LaCe2ErN4 | PBE | optimized geometry

## Properties
SG: P2/m, No. 10
Uncorrected formation energy: -1.497 eV/atom

a b c (Å): 6.1784 3.5731 6.2246
angles (deg): 90.00 109.43 90.00
Element x y z (fractional)
La 0.0000 0.0000 0.0000
Ce 0.5000 0.0000 0.5000
Ce 0.5000 0.5000 0.0000
Er 0.0000 0.5000 0.5000
N 0.2526 0.0000 0.7395
N 0.2631 0.5000 0.2678
N 0.7369 0.5000 0.7322
N 0.7474 0.0000 0.2605

8.
LaCe3Er2P6 | PBE | optimized geometry

## Properties
SG: C2/m, No. 12
ΔE_f: -1.535 eV per atom

a b c (Å): 7.0737 7.0737 7.0575
angles (deg): 99.63 99.63 120.01
Element x y z (fractional)
La 0.0000 0.0000 0.0000
Ce 0.1648 0.8352 0.5000
Ce 0.5000 0.5000 0.5000
Ce 0.8352 0.1648 0.5000
Er 0.3327 0.6673 0.0000
Er 0.6673 0.3327 0.0000
P 0.0838 0.4267 0.2509
P 0.2602 0.2602 0.7511
P 0.4267 0.0838 0.2509
P 0.5733 0.9162 0.7491
P 0.7398 0.7398 0.2489
P 0.9162 0.5733 0.7491

Number 1: VASP energy -0.193 hartree per atom, total magnetization 0.3213 μB per atom. Number 2: VASP energy -0.178 hartree per atom, total magnetization 0.2022 μB per atom. Number 3: VASP energy -0.184 hartree per atom, total magnetization 0.1844 μB per atom. Number 4: VASP energy -0.171 hartree per atom, total magnetization 0.0000 μB per atom. Number 5: VASP energy -0.186 hartree per atom, total magnetization 1.0428 μB per atom. Number 6: VASP energy -0.300 hartree per atom, total magnetization 0.0000 μB per atom. Number 7: VASP energy -0.306 hartree per atom, total magnetization 0.0716 μB per atom. Number 8: VASP energy -0.253 hartree per atom, total magnetization 0.1292 μB per atom.